# 1
! UVSe2 PBE-GGA optimized geometry; values from VASP
&SYSTEM
  ibrav = 0, nat = 4, ntyp = 3
/
ATOMIC_SPECIES
V 50.94 V.upf
U 238.03 U.upf
Se 78.96 Se.upf
ATOMIC_POSITIONS crystal
V 0.5000 0.5000 0.5000
U 0.0000 0.0000 0.0000
Se 0.1070 0.1070 0.6791
Se 0.8930 0.8930 0.3209
CELL_PARAMETERS angstrom
3.1952 0.0000 0.0000
1.5976 2.7671 0.0000
1.5976 0.9224 9.2207
! * crystal system: trigonal
! * raw formation energy: -0.312 eV/atom
! * spin magnetization: 2.90 μB/f.u.
! * space group: No. 166

=====

# 2
! Zn2In2Pd5Au PBE-GGA optimized geometry; values from VASP
&SYSTEM
  ibrav = 0, nat = 20, ntyp = 4
/
ATOMIC_SPECIES
Zn 65.41 Zn.upf
Pd 106.42 Pd.upf
In 114.82 In.upf
Au 196.97 Au.upf
ATOMIC_POSITIONS crystal
Zn 0.0000 0.6252 0.8748
Pd 0.5000 0.5000 0.0000
Pd 0.5000 0.3024 0.5871
Pd 0.5000 0.4129 0.3024
Pd 0.5000 0.0871 0.8024
Zn 0.0000 0.1252 0.6252
Pd 0.5000 0.8024 0.9129
In 0.0000 0.6731 0.1731
Pd 0.5000 0.9129 0.1976
In 0.0000 0.8269 0.6731
Au 0.0000 0.5000 0.5000
In 0.0000 0.3269 0.8269
Zn 0.0000 0.3748 0.1252
Zn 0.0000 0.8748 0.3748
Au 0.0000 0.0000 0.0000
Pd 0.5000 0.1976 0.0871
In 0.0000 0.1731 0.3269
Pd 0.5000 0.5871 0.6976
Pd 0.5000 0.6976 0.4129
Pd 0.5000 0.0000 0.5000
CELL_PARAMETERS angstrom
-1.4196 -3.1410 -1.7189
5.0132 1.9600 -7.7217
7.1716 -5.0831 3.3658
! * crystal system: tetragonal
! * formation enthalpy at 0 K: -0.327 eV per atom
! * spin magnetization: 0.00 μB/f.u.
! * space group: No. 127

=====

The highest spin magnetization belongs to which entry? UVSe2